TaCuAu | PBE-GGA | optimized geometry

Geometry as POSCAR:
```
TaCuAu
1.0
-0.023 3.146 -2.341
-3.035 -1.497 -1.982
-4.194 3.039 4.126
Cu Ta Au
2 2 2
Cartesian
-3.323 3.972 2.087
-2.400 -0.109 -0.122
-2.097 1.519 2.063
-3.626 2.344 -0.099
-4.974 1.756 2.410
-0.749 2.107 -0.445
```

Values from the calculation:
Symmetry: P4/nmm, No. 129
Density, g cm⁻³: 14.40
Polymorph energy (0 for the lowest one), eV/f.u.: 0.33
DOS(E_F), states/eV/cell: 2.87
Energy of formation, eV per atom: 0.105